1.
Computed, not measured: a geometry-optimized Nd2SiO5 structure at the PBE-GGA level of DFT.

Structure (POSCAR):
```
Nd2SiO5
1.0
7.4853 0.0000 0.0000
0.0000 6.8970 0.0148
0.0000 2.9543 8.8193
Nd Si O
8 4 20
direct
0.6259 0.2320 0.9819
0.1259 0.2680 0.0181
0.6577 0.0936 0.6100
0.8423 0.5936 0.6100
0.1577 0.4064 0.3900
0.3423 0.9064 0.3900
0.8741 0.7320 0.9819
0.3741 0.7680 0.0181
0.0774 0.0432 0.7009
0.5774 0.4568 0.2991
0.4226 0.5432 0.7009
0.9226 0.9568 0.2991
0.5753 0.3644 0.7091
0.3667 0.4948 0.8811
0.3762 0.0492 0.1141
0.8667 0.0052 0.1189
0.2445 0.0534 0.5890
0.7555 0.9466 0.4110
0.0397 0.7445 0.3693
0.1333 0.9948 0.8811
0.4603 0.2445 0.3693
0.6238 0.9508 0.8859
0.0753 0.1356 0.2909
0.1238 0.5492 0.1141
0.7445 0.4466 0.4110
0.5397 0.7555 0.6307
0.9603 0.2555 0.6307
0.9247 0.8644 0.7091
0.6333 0.5052 0.1189
0.8762 0.4508 0.8859
0.4247 0.6356 0.2909
0.2555 0.5534 0.5890
```

## Properties
- Excess energy over the best structure of this formula in the dataset: 0.00 eV/f.u.


2.
Computed, not measured: a geometry-optimized Nd2SiO5 structure at the PBE-GGA level of DFT.

Structure (POSCAR):
```
Nd2SiO5
1.0
6.5838 0.0000 2.4341
2.7309 7.2659 2.7343
0.0328 -0.3988 10.0321
Nd Si O
8 4 20
direct
0.5240 0.0447 0.6657
0.7108 0.1096 0.9639
0.7843 0.3904 0.5361
0.7656 0.5447 0.1657
0.2344 0.4553 0.8343
0.2157 0.6096 0.4639
0.2892 0.8904 0.0361
0.4760 0.9553 0.3343
0.9077 0.0525 0.3078
0.2680 0.4475 0.1922
0.7320 0.5525 0.8078
0.0923 0.9475 0.6922
0.9049 0.0397 0.1472
0.2613 0.0390 0.5663
0.8384 0.0791 0.6832
0.4363 0.2402 0.1719
0.8484 0.2598 0.3281
0.3918 0.1378 0.8959
0.4256 0.3622 0.6041
0.0918 0.4603 0.3528
0.1334 0.5390 0.0663
0.6007 0.4209 0.8168
0.3993 0.5791 0.1832
0.8666 0.4610 0.9337
0.9082 0.5397 0.6472
0.5744 0.6378 0.3959
0.6082 0.8622 0.1041
0.1516 0.7402 0.6719
0.5637 0.7598 0.8281
0.1616 0.9209 0.3168
0.7387 0.9610 0.4337
0.0951 0.9603 0.8528
```

## Properties
- Excess energy over the best structure of this formula in the dataset: 0.03 eV/f.u.


3.
Computed, not measured: a geometry-optimized Nd4Si2O structure at the PBE-GGA level of DFT.

Structure (POSCAR):
```
Nd4Si2O
1.0
6.8242 0.0000 -0.0423
0.0000 6.8055 0.0000
-2.5595 0.0000 8.0447
Nd Si O
8 4 2
direct
0.4974 0.4987 0.2583
0.0781 0.7500 0.9101
0.9219 0.2500 0.0899
0.4974 0.0013 0.2583
0.9418 0.2500 0.6281
0.5026 0.9987 0.7417
0.5026 0.5013 0.7417
0.0582 0.7500 0.3719
0.7208 0.7500 0.0512
0.2792 0.2500 0.9488
0.2527 0.2500 0.4366
0.7473 0.7500 0.5634
0.2659 0.7500 0.1921
0.7341 0.2500 0.8079
```


4.
Computed, not measured: a geometry-optimized Nd2SiO structure at the PBE-GGA level of DFT.

Structure (POSCAR):
```
Nd2SiO
1.0
3.8792 0.0000 0.0000
1.9396 3.3595 0.0000
1.9396 1.1198 6.5715
Si Nd O
1 2 1
direct
0.0000 0.0000 0.0000
0.2386 0.2386 0.2841
0.7614 0.7614 0.7159
0.5000 0.5000 0.5000
```

## Properties
- Excess energy over the best structure of this formula in the dataset: 0.00 eV/f.u.


| no. | uncorrected formation energy (kJ/mol of formula units) | total magnetic moment (μB per atom) |
| --- | --- | --- |
| 1 | -2527 | 0.00 |
| 2 | -2525 | 0.00 |
| 3 | -766 | 0.00 |
| 4 | -596 | 0.00 |